# 1
Entry from Alexandria via LeMat-Bulk: a relaxed SrNiRh2 crystal (GGA-PBE).

Unit cell a=2.927 b=3.643 c=6.748 alpha=90.00 beta=90.00 gamma=90.00
Fractional coordinates of all 4 atoms:
Sr  0.000  0.000  0.000
Ni  0.500  0.500  0.316
Rh  0.000  0.000  0.482
Rh  0.500  0.500  0.685

magnetization = 1.0 μB/f.u.
raw total energy = -5.340 eV per atom
DFT formation energy = 0.20 eV/atom

=====

# 2
Entry from Alexandria via LeMat-Bulk: a relaxed Nd2PuMg crystal (GGA-PBE).

Unit cell a=3.582 b=3.582 c=9.465 alpha=90.00 beta=90.00 gamma=90.00
Fractional coordinates of all 4 atoms:
Nd  0.000  0.000  0.243
Nd  0.000  0.000  0.757
Pu  0.500  0.500  0.500
Mg  0.500  0.500  0.000

magnetization = 6.1 μB/f.u.
raw total energy = -6.298 eV per atom
DFT formation energy = 0.07 eV/atom

=====

# 3
Entry from Alexandria via LeMat-Bulk: a relaxed ScTlOs2 crystal (GGA-PBE).

Unit cell a=5.718 b=5.718 c=5.718 alpha=148.27 beta=132.93 gamma=57.89
Fractional coordinates of all 4 atoms:
Sc  0.000  0.000  0.000
Tl  0.280  0.780  0.500
Os  0.524  0.524  0.000
Os  0.734  0.234  0.500

magnetization = 0.0 μB/f.u.
raw total energy = -7.473 eV per atom
DFT formation energy = 0.32 eV/atom

=====

# 4
Entry from Alexandria via LeMat-Bulk: a relaxed Sr4SbSeI2 crystal (GGA-PBE).

Unit cell a=8.096 b=4.711 c=8.234 alpha=90.00 beta=109.33 gamma=90.00
Fractional coordinates of all 8 atoms:
Sr  0.233  0.000  0.212
Sr  0.256  0.500  0.784
Sr  0.744  0.500  0.216
Sr  0.767  0.000  0.788
Sb  0.500  0.000  0.000
Se  0.000  0.500  0.000
I  0.000  0.000  0.500
I  0.500  0.500  0.500

formation energy (no corrections) = -11.68 eV per formula unit
magnetization = 0.0 μB/f.u.
raw total energy = -3.640 eV per atom